No. 1
DFT (GGA-PBE) results for crystalline BaSmF5 at its relaxed geometry.

Geometry as POSCAR:
```
BaSmF5
1.0
2.251 -8.312 0.000
2.251 8.312 0.000
-0.310 0.000 6.050
Ba Sm F
2 2 10
Cartesian
2.018 5.406 4.538
2.173 -5.406 1.513
2.018 1.240 4.538
2.173 -1.240 1.513
2.173 6.341 1.513
1.108 0.613 2.438
1.894 3.085 5.996
0.954 -0.613 5.463
2.143 3.085 3.080
2.049 -3.085 2.971
3.238 0.613 0.588
2.298 -3.085 0.054
3.083 -0.613 3.613
2.018 -6.341 4.538
```

- space-group type = C2/c, No. 15
- theoretical density (g/cm³) = 5.61
- raw formation energy (eV/atom) = -4.04
- N(E_F) (states/eV/atom) = 0.000
- E (eV per atom) = -6.32
- size of the total moment (μB/atom) = 0.000

No. 2
DFT (GGA-PBE) results for crystalline BeSi2Cl at its relaxed geometry.

Geometry as POSCAR:
```
BeSi2Cl
1.0
6.275 0.000 0.000
0.000 6.275 0.000
0.000 0.000 6.275
Be Si Cl
4 8 4
Cartesian
0.000 0.000 0.000
0.000 3.137 3.137
3.137 0.000 3.137
3.137 3.137 0.000
1.569 1.569 1.569
1.569 1.569 4.706
1.569 4.706 1.569
1.569 4.706 4.706
4.706 1.569 1.569
4.706 1.569 4.706
4.706 4.706 1.569
4.706 4.706 4.706
0.000 0.000 3.137
0.000 3.137 0.000
3.137 0.000 0.000
3.137 3.137 3.137
```

- space-group type = Fm-3m, No. 225
- theoretical density (g/cm³) = 2.71
- raw formation energy (eV/atom) = 0.85
- N(E_F) (states/eV/atom) = 0.904
- E (eV per atom) = -3.26
- size of the total moment (μB/atom) = 0.000

> The lowest theoretical density belongs to which entry?

BeSi2Cl

> Look up the size of the total moment of the second one.

0.000 μB/atom

> Among the records above, which one has the lowest E?

BaSmF5

> The highest N(E_F) belongs to which entry?

BeSi2Cl